Entry 1:
This record from the Alexandria database describes a relaxed structure of BaNaLi2Cu. The functional is PBE-GGA.

```
BaNaLi2Cu
1.0
5.292 0.000 0.000
0.000 5.292 0.000
0.000 0.000 6.007
Ba Na Li Cu
1 1 2 1
Direct
0.000 0.000 0.000
0.500 0.500 0.000
0.000 0.500 0.500
0.500 0.000 0.500
0.000 0.000 0.500
```

Formation energy   0.175 eV/atom
Space-group type   P4/mmm
ΔE to the lowest computed polymorph   0.012 eV per atom
VASP energy   -10.3 eV per cell

Entry 2:
This record from the Alexandria database describes a relaxed structure of DyTaAl2O8. The functional is PBE-GGA.

```
DyTaAl2O8
1.0
-3.381 3.381 3.172
3.381 -3.381 3.172
3.381 3.381 -3.172
Dy Ta Al O
1 1 2 8
Direct
0.000 0.000 0.000
0.750 0.250 0.500
0.250 0.750 0.500
0.500 0.500 0.000
0.047 0.371 0.324
0.047 0.723 0.676
0.121 0.327 0.795
0.277 0.953 0.324
0.532 0.327 0.205
0.629 0.953 0.676
0.673 0.468 0.795
0.673 0.879 0.205
```

Space-group type   I-4m2
VASP energy   -94.5 eV per cell
Formation energy from raw total energies   -59.3 kcal/mol of atoms

Entry 3:
This record from the Alexandria database describes a relaxed structure of Nd5Dy4Tl. The functional is PBE-GGA.

```
Nd5Dy4Tl
1.0
-5.340 5.340 3.004
5.340 -5.340 3.004
5.340 5.340 -3.004
Nd Dy Tl
5 4 1
Direct
0.000 0.000 0.000
0.528 0.528 0.624
0.528 0.904 0.000
0.904 0.528 0.000
0.904 0.904 0.376
0.201 0.521 0.320
0.201 0.881 0.680
0.521 0.201 0.320
0.881 0.201 0.680
0.478 0.478 0.000
```

Formation energy   0.161 eV/atom
Space-group type   I4mm
ΔE to the lowest computed polymorph   0.145 eV per atom
VASP energy   -43.0 eV per cell

Entry 4:
This record from the Alexandria database describes a relaxed structure of MgAg2Te. The functional is PBE-GGA.

```
MgAg2Te
1.0
-2.078 2.078 10.589
2.078 -2.078 10.589
2.078 2.078 -10.589
Mg Ag Te
2 4 2
Direct
0.000 0.000 0.000
0.750 0.250 0.500
0.114 0.625 0.989
0.375 0.364 0.489
0.636 0.125 0.011
0.875 0.886 0.511
0.250 0.750 0.500
0.500 0.500 0.000
```

Space-group type   I-42d
ΔE to the lowest computed polymorph   0.076 eV per atom
VASP energy   -21.5 eV per cell
Formation energy from raw total energies   -1.8 kcal/mol of atoms

Entry 5:
This record from the Alexandria database describes a relaxed structure of TaIn3Au. The functional is PBE-GGA.

```
TaIn3Au
1.0
5.193 0.000 0.000
0.000 5.193 0.000
0.000 0.000 5.193
Ta In Au
1 3 1
Direct
0.000 0.000 0.000
0.000 0.500 0.500
0.500 0.000 0.500
0.500 0.500 0.000
0.500 0.500 0.500
```

Formation energy   1.043 eV/atom
Space-group type   Pm-3m
ΔE to the lowest computed polymorph   0.128 eV per atom
VASP energy   -18.1 eV per cell

Entry 6:
This record from the Alexandria database describes a relaxed structure of PmDyTlIr. The functional is PBE-GGA.

```
PmDyTlIr
1.0
0.000 3.652 3.652
3.652 0.000 3.652
3.652 3.652 0.000
Pm Dy Tl Ir
1 1 1 1
Direct
0.000 0.000 0.000
0.500 0.500 0.500
0.750 0.750 0.750
0.250 0.250 0.250
```

Formation energy   -0.428 eV/atom
Space-group type   F-43m
ΔE to the lowest computed polymorph   0.136 eV per atom
VASP energy   -22.3 eV per cell

Entry 7:
This record from the Alexandria database describes a relaxed structure of Cr3P. The functional is PBE-GGA.

```
Cr3P
1.0
3.900 2.252 0.865
-3.900 2.252 0.865
0.000 -4.503 0.865
Cr P
3 1
Direct
0.000 0.500 0.500
0.500 0.000 0.500
0.500 0.500 0.000
0.000 0.000 0.000
```

Formation energy   0.006 eV/atom
Space-group type   R-3m
ΔE to the lowest computed polymorph   0.367 eV per atom
VASP energy   -34.3 eV per cell

Entry 8:
This record from the Alexandria database describes a relaxed structure of NdEuYCd. The functional is PBE-GGA.

```
NdEuYCd
1.0
0.000 3.950 3.950
3.950 0.000 3.950
3.950 3.950 0.000
Nd Eu Y Cd
1 1 1 1
Direct
0.000 0.000 0.000
0.250 0.250 0.250
0.500 0.500 0.500
0.750 0.750 0.750
```

Formation energy   -0.026 eV/atom
Space-group type   F-43m
VASP energy   -22.5 eV per cell

Entry 9:
This record from the Alexandria database describes a relaxed structure of LaYTe. The functional is PBE-GGA.

```
LaYTe
1.0
0.000 3.691 3.691
3.691 0.000 3.691
3.691 3.691 0.000
La Y Te
1 1 1
Direct
0.000 0.000 0.000
0.500 0.500 0.500
0.250 0.250 0.250
```

Space-group type   F-43m
ΔE to the lowest computed polymorph   0.189 eV per atom
VASP energy   -16.4 eV per cell
Formation energy from raw total energies   -14.6 kcal/mol of atoms

Entry 10:
This record from the Alexandria database describes a relaxed structure of MgSe2Br. The functional is PBE-GGA.

```
MgSe2Br
1.0
5.163 0.000 0.000
0.000 5.163 0.000
0.000 0.000 3.318
Mg Se Br
1 2 1
Direct
0.000 0.000 0.000
0.000 0.500 0.500
0.500 0.000 0.500
0.500 0.500 0.000
```

Space-group type   P4/mmm
ΔE to the lowest computed polymorph   0.729 eV per atom
VASP energy   -10.0 eV per cell
Formation energy from raw total energies   1.6 kcal/mol of atoms

Entry 11:
This record from the Alexandria database describes a relaxed structure of TlHgPb2. The functional is PBE-GGA.

```
TlHgPb2
1.0
-2.408 2.408 5.097
2.408 -2.408 5.097
2.408 2.408 -5.097
Tl Hg Pb
1 1 2
Direct
0.000 0.000 0.000
0.500 0.500 0.000
0.250 0.750 0.500
0.750 0.250 0.500
```

Formation energy   0.019 eV/atom
Space-group type   I4/mmm
VASP energy   -10.0 eV per cell

Entry 12:
This record from the Alexandria database describes a relaxed structure of KAgSb4. The functional is PBE-GGA.

```
KAgSb4
1.0
0.000 4.494 4.494
4.494 0.000 4.494
4.494 4.494 0.000
K Ag Sb
1 1 4
Direct
0.000 0.000 0.000
0.250 0.250 0.250
0.132 0.623 0.623
0.623 0.132 0.623
0.623 0.623 0.132
0.623 0.623 0.623
```

Space-group type   F-43m
VASP energy   -20.0 eV per cell
Formation energy from raw total energies   1.8 kcal/mol of atoms

Entry 13:
This record from the Alexandria database describes a relaxed structure of ZrTa2Pd. The functional is PBE-GGA.

```
ZrTa2Pd
1.0
0.000 3.304 3.304
3.304 0.000 3.304
3.304 3.304 0.000
Zr Ta Pd
1 2 1
Direct
0.000 0.000 0.000
0.250 0.250 0.250
0.750 0.750 0.750
0.500 0.500 0.500
```

Formation energy   0.059 eV/atom
Space-group type   Fm-3m
ΔE to the lowest computed polymorph   0.000 eV per atom
VASP energy   -37.2 eV per cell

Entry 14:
This record from the Alexandria database describes a relaxed structure of K2Bi12Pd7. The functional is PBE-GGA.

```
K2Bi12Pd7
1.0
11.994 0.000 0.000
-5.997 10.387 0.000
0.000 0.000 4.499
K Bi Pd
2 12 7
Direct
0.000 0.000 0.000
0.333 0.667 0.500
0.053 0.279 0.500
0.115 0.703 0.000
0.226 0.947 0.500
0.297 0.413 0.000
0.389 0.187 0.000
0.545 0.440 0.500
0.560 0.105 0.500
0.587 0.885 0.000
0.721 0.774 0.500
0.798 0.611 0.000
0.813 0.202 0.000
0.895 0.455 0.500
0.062 0.439 0.000
0.276 0.248 0.500
0.377 0.938 0.000
0.561 0.623 0.000
0.667 0.333 0.000
0.752 0.029 0.500
0.971 0.724 0.500
```

Formation energy   -0.261 eV/atom
Space-group type   P-6
VASP energy   -90.6 eV per cell

Entry 15:
This record from the Alexandria database describes a relaxed structure of ScTl2BO. The functional is PBE-GGA.

```
ScTl2BO
1.0
4.616 0.000 0.000
0.000 4.616 0.000
0.000 0.000 4.717
Sc Tl B O
1 2 1 1
Direct
0.000 0.000 0.000
0.000 0.500 0.500
0.500 0.000 0.500
0.000 0.000 0.500
0.500 0.500 0.000
```

Space-group type   P4/mmm
VASP energy   -20.9 eV per cell
Formation energy from raw total energies   8.2 kcal/mol of atoms